1.
Compound: YRe3F
Source: the Alexandria database
Functional: GGA-PBE
Structure: optimized geometry

Cell and atoms, written as extended XYZ:
```
5
Lattice="5.2825 0.0000 0.0000 0.0000 5.2825 0.0000 0.0000 0.0000 5.2825" Properties=species:S:1:pos:R:3 pbc="T T T"
Re 0.0000 2.6413 0.0000
Re 0.0000 0.0000 2.6413
Re 2.6413 0.0000 0.0000
Y 0.0000 0.0000 0.0000
F 2.6413 2.6413 2.6413
```

Output
As for the space group: Pm-3m, No. 221. The uncorrected formation energy comes out at 3.272 eV per atom.

2.
Compound: CaTmPd4
Source: the Alexandria database
Functional: GGA-PBE
Structure: optimized geometry

Cell and atoms, written as extended XYZ:
```
6
Lattice="-1.6255 -0.5710 -3.4687 2.1645 -3.1902 -0.4892 -6.2579 -4.8204 3.7242" Properties=species:S:1:pos:R:3 pbc="T T T"
Pd -0.5654 -2.8523 0.7275
Pd -0.2934 -4.7307 -1.2532
Ca -5.9849 -6.6837 1.7356
Pd -3.5204 -5.1248 2.4873
Pd -3.2538 -7.0074 0.5100
Tm -0.9604 -5.5837 1.3625
```

Output
As for the space group: Pmmm, No. 47. The formation energy from the elements is -529 meV/atom.

3.
Compound: AlPtSe
Source: the Alexandria database
Functional: GGA-PBE
Structure: optimized geometry

Cell and atoms, written as extended XYZ:
```
12
Lattice="6.2913 0.0000 0.0000 0.0000 6.2329 0.0078 0.0000 -2.6998 5.8030" Properties=species:S:1:pos:R:3 pbc="T T T"
Pt 3.0626 3.2855 2.5442
Al 0.8331 4.3518 2.1277
Al 3.9740 3.9336 0.3072
Se 5.5243 2.7429 3.1984
Pt 6.2466 1.9666 5.5366
Se 5.5488 0.5861 0.8170
Se 2.3786 0.7902 2.6124
Pt 6.2082 0.2476 3.2666
Se 2.4031 2.9470 4.9938
Pt 3.1009 1.5665 0.2742
Al 0.8283 -0.4005 5.5035
Al 3.9787 -0.8187 3.6831
```

Output
As for the space group: P2_1, No. 4. The uncorrected formation energy comes out at -0.617 eV per atom.

4.
Compound: Nb3Re2Tc
Source: the Alexandria database
Functional: GGA-PBE
Structure: optimized geometry

Cell and atoms, written as extended XYZ:
```
6
Lattice="-0.7255 1.5914 2.6833 -3.0860 -0.7704 -0.3775 1.3716 -8.0013 5.1163" Properties=species:S:1:pos:R:3 pbc="T T T"
Tc -1.2199 -3.5901 3.7111
Nb 0.9136 -5.3296 3.4080
Nb 0.0000 0.0000 0.0000
Re -0.7638 -6.2512 5.4127
Re -1.6761 -0.9290 2.0094
Nb 0.4580 -2.6716 1.7084
```

Output
As for the space group: P4/mmm, No. 123. The formation energy from the elements is -301 meV/atom.

5.
Compound: Tl2SiRu
Source: the Alexandria database
Functional: GGA-PBE
Structure: optimized geometry

Cell and atoms, written as extended XYZ:
```
4
Lattice="-0.6407 -3.4274 3.5415 0.4229 -2.6443 -2.4826 5.1472 -2.4430 -1.4331" Properties=species:S:1:pos:R:3 pbc="T T T"
Ru 1.0722 -2.9855 0.7918
Si 3.8573 -5.5292 -1.1660
Tl 2.6601 -1.9502 -1.4062
Tl 0.1250 -0.5934 -0.5517
```

Output
As for the space group: P2/m, No. 10. The uncorrected formation energy comes out at 0.570 eV per atom.

6.
Compound: Nb2TlAs
Source: the Alexandria database
Functional: GGA-PBE
Structure: optimized geometry

Cell and atoms, written as extended XYZ:
```
8
Lattice="4.0842 0.0000 0.0000 0.0000 4.0842 0.0000 2.0421 2.0421 9.9665" Properties=species:S:1:pos:R:3 pbc="T T T"
Nb 3.0565 1.0210 2.4916
Nb 1.0277 3.0631 2.4916
Tl 4.0842 2.0421 4.9832
Nb 3.0631 3.0698 7.4748
Nb 5.1052 5.0986 7.4748
Tl 0.0000 0.0000 0.0000
As 2.0421 2.0421 0.0000
As 2.0421 4.0842 4.9832
```

Output
As for the space group: I-42d, No. 122. The formation energy from the elements is 443 meV/atom.